Entry from Alexandria via LeMat-Bulk: crystalline CoHg2Pt at its relaxed geometry (PBE-GGA).

a b c (Å): 2.935 2.935 8.338
angles (deg): 90.00 90.00 90.00
Space group P4mm (No. 99)
Inequivalent atoms, fractional coordinates:
Co  0.000  0.000  0.000
Hg  0.000  0.000  0.554
Hg  0.500  0.500  0.233
Pt  0.500  0.500  0.815

Output
Formation energy from the elements   184 meV/atom
Calculated total energy   -3.254 eV/atom


Entry from Alexandria via LeMat-Bulk: crystalline CoHg2Pt at its relaxed geometry (PBE-GGA).

a b c (Å): 2.860 4.605 11.200
angles (deg): 90.00 90.00 90.00
Space group Imm2 (No. 44)
Inequivalent atoms, fractional coordinates:
Co  0.000  0.000  0.000
Hg  0.000  0.000  0.506
Hg  0.000  0.500  0.715
Pt  0.000  0.500  0.313

Output
Formation energy from the elements   271 meV/atom
Calculated total energy   -3.167 eV/atom


Entry from Alexandria via LeMat-Bulk: crystalline CoHg2Pt at its relaxed geometry (PBE-GGA).

a b c (Å): 2.944 4.426 5.610
angles (deg): 90.00 104.92 90.00
Space group Pm (No. 6)
Inequivalent atoms, fractional coordinates:
Co  0.000  0.000  0.000
Hg  0.265  0.000  0.535
Hg  0.598  0.500  0.201
Pt  0.868  0.500  0.743

Output
Formation energy from the elements   314 meV/atom
Calculated total energy   -3.124 eV/atom


Entry from Alexandria via LeMat-Bulk: crystalline CoHg3Pt at its relaxed geometry (PBE-GGA).

a b c (Å): 4.884 4.884 4.884
angles (deg): 90.00 90.00 90.00
Space group Pm-3m (No. 221)
Inequivalent atoms, fractional coordinates:
Co  0.000  0.000  0.000
Hg  0.000  0.000  0.500
Pt  0.500  0.500  0.500

Output
Polymorph energy (0 for the lowest one)   0.063 eV per atom
Formation energy from the elements   862 meV/atom
Calculated total energy   -1.949 eV/atom


Entry from Alexandria via LeMat-Bulk: crystalline CoHg2Pt at its relaxed geometry (PBE-GGA).

a b c (Å): 7.400 7.400 5.523
angles (deg): 90.00 90.00 90.00
Space group I-42d (No. 122)
Inequivalent atoms, fractional coordinates:
Co  0.000  0.000  0.000
Hg  0.234  0.250  0.125
Pt  0.000  0.000  0.500

Output
Formation energy from the elements   529 meV/atom
Calculated total energy   -2.908 eV/atom


Entry from Alexandria via LeMat-Bulk: crystalline CoHgPt4 at its relaxed geometry (PBE-GGA).

a b c (Å): 7.472 7.472 7.472
angles (deg): 90.00 90.00 90.00
Space group F-43m (No. 216)
Inequivalent atoms, fractional coordinates:
Co  0.000  0.000  0.000
Hg  0.250  0.250  0.750
Pt  0.125  0.125  0.375

Output
Formation energy from the elements   281 meV/atom
Calculated total energy   -4.981 eV/atom


Entry from Alexandria via LeMat-Bulk: crystalline CoHg4Pt at its relaxed geometry (PBE-GGA).

a b c (Å): 7.938 7.938 7.938
angles (deg): 90.00 90.00 90.00
Space group F-43m (No. 216)
Inequivalent atoms, fractional coordinates:
Co  0.000  0.000  0.000
Hg  0.125  0.125  0.625
Pt  0.250  0.250  0.250

Output
Formation energy from the elements   761 meV/atom
Calculated total energy   -1.632 eV/atom


Entry from Alexandria via LeMat-Bulk: crystalline CoHg2Pt at its relaxed geometry (PBE-GGA).

a b c (Å): 4.101 4.101 8.241
angles (deg): 90.00 90.00 90.00
Space group I-4m2 (No. 119)
Inequivalent atoms, fractional coordinates:
Co  0.000  0.000  0.000
Hg  0.000  0.000  0.500
Hg  0.000  0.500  0.750
Pt  0.000  0.500  0.250

Output
Formation energy from the elements   346 meV/atom
Calculated total energy   -3.091 eV/atom


Entry from Alexandria via LeMat-Bulk: crystalline CoHg3Pt at its relaxed geometry (PBE-GGA).

a b c (Å): 5.240 5.240 5.240
angles (deg): 90.00 90.00 90.00
Space group Pm-3m (No. 221)
Inequivalent atoms, fractional coordinates:
Co  0.000  0.000  0.000
Hg  0.000  0.500  0.500
Pt  0.500  0.500  0.500

Output
Polymorph energy (0 for the lowest one)   0.000 eV per atom
Formation energy from the elements   799 meV/atom
Calculated total energy   -2.011 eV/atom


Entry from Alexandria via LeMat-Bulk: crystalline ScCoHg2Pt at its relaxed geometry (PBE-GGA).

a b c (Å): 5.141 5.141 4.682
angles (deg): 90.00 90.00 90.00
Space group P4/mmm (No. 123)
Inequivalent atoms, fractional coordinates:
Sc  0.000  0.000  0.000
Co  0.500  0.500  0.000
Hg  0.000  0.500  0.500
Pt  0.500  0.500  0.500

Output
Formation energy from the elements   536 meV/atom
Calculated total energy   -3.481 eV/atom


Entry from Alexandria via LeMat-Bulk: crystalline Th2CoHgPt at its relaxed geometry (PBE-GGA).

a b c (Å): 7.393 4.682 7.393
angles (deg): 90.00 113.68 90.00
Space group P2_1/m (No. 11)
Inequivalent atoms, fractional coordinates:
Th  0.088  0.250  0.341
Th  0.341  0.750  0.088
Co  0.024  0.250  0.975
Hg  0.403  0.750  0.597
Pt  0.233  0.250  0.767

Output
Formation energy from the elements   -588 meV/atom
Calculated total energy   -6.246 eV/atom


Entry from Alexandria via LeMat-Bulk: crystalline PuCoHg at its relaxed geometry (PBE-GGA).

a b c (Å): 4.127 5.415 6.345
angles (deg): 91.62 108.97 112.31
Space group P-1 (No. 2)
Inequivalent atoms, fractional coordinates:
Pu  0.237  0.313  0.161
Co  0.486  0.118  0.853
Hg  0.095  0.771  0.418

Output
Formation energy from the elements   -29 meV/atom
Calculated total energy   -7.276 eV/atom


Entry from Alexandria via LeMat-Bulk: crystalline Pu2CoHg at its relaxed geometry (PBE-GGA).

a b c (Å): 3.5769 3.5769 29.2383
angles (deg): 90.00 90.00 120.00
Space group R-3m (No. 166, hexagonal axes)
Inequivalent atoms, fractional coordinates:
Pu  0.0000  0.0000  0.1110
Co  0.0000  0.0000  0.5000
Hg  0.0000  0.0000  0.0000

Output
Polymorph energy (0 for the lowest one)   0.285 eV per atom
Formation energy from the elements   229 meV/atom
Calculated total energy   -8.789 eV/atom


Entry from Alexandria via LeMat-Bulk: crystalline Pu2CoHg at its relaxed geometry (PBE-GGA).

a b c (Å): 3.234 3.234 8.297
angles (deg): 90.00 90.00 90.00
Space group P4/mmm (No. 123)
Inequivalent atoms, fractional coordinates:
Pu  0.000  0.000  0.204
Co  0.500  0.500  0.000
Hg  0.500  0.500  0.500

Output
Polymorph energy (0 for the lowest one)   0.000 eV per atom
Formation energy from the elements   -56 meV/atom
Calculated total energy   -9.073 eV/atom


Entry from Alexandria via LeMat-Bulk: crystalline Rb2CoHg at its relaxed geometry (PBE-GGA).

a b c (Å): 5.837 5.837 23.216
angles (deg): 90.00 90.00 90.00
Space group I-42d (No. 122)
Inequivalent atoms, fractional coordinates:
Rb  0.239  0.250  0.125
Co  0.000  0.000  0.000
Hg  0.000  0.000  0.500

Output
Formation energy from the elements   834 meV/atom
Calculated total energy   -1.502 eV/atom


Entry from Alexandria via LeMat-Bulk: crystalline Rb3CoHg at its relaxed geometry (PBE-GGA).

a b c (Å): 6.819 6.819 6.819
angles (deg): 90.00 90.00 90.00
Space group Pm-3m (No. 221)
Inequivalent atoms, fractional coordinates:
Rb  0.000  0.000  0.500
Co  0.500  0.500  0.500
Hg  0.000  0.000  0.000

Output
Formation energy from the elements   719 meV/atom
Calculated total energy   -1.343 eV/atom


Entry from Alexandria via LeMat-Bulk: crystalline RbCo3Hg at its relaxed geometry (PBE-GGA).

a b c (Å): 5.045 5.045 5.045
angles (deg): 90.00 90.00 90.00
Space group Pm-3m (No. 221)
Inequivalent atoms, fractional coordinates:
Rb  0.000  0.000  0.000
Co  0.000  0.500  0.500
Hg  0.500  0.500  0.500

Output
Formation energy from the elements   1434 meV/atom
Calculated total energy   -3.083 eV/atom


Entry from Alexandria via LeMat-Bulk: crystalline RbCo4Hg2 at its relaxed geometry (PBE-GGA).

a b c (Å): 4.687 4.687 13.954
angles (deg): 90.00 90.00 90.00
Space group I4/mmm (No. 139)
Inequivalent atoms, fractional coordinates:
Rb  0.000  0.000  0.000
Co  0.000  0.000  0.208
Co  0.000  0.500  0.000
Hg  0.000  0.000  0.388

Output
Formation energy from the elements   1890 meV/atom
Calculated total energy   -2.395 eV/atom


Entry from Alexandria via LeMat-Bulk: crystalline RbCoHg2Rh at its relaxed geometry (PBE-GGA).

a b c (Å): 6.474 6.474 6.042
angles (deg): 90.00 90.00 90.00
Space group P4/mmm (No. 123)
Inequivalent atoms, fractional coordinates:
Rb  0.000  0.000  0.000
Co  0.000  0.000  0.500
Hg  0.000  0.500  0.000
Rh  0.500  0.500  0.500

Output
Formation energy from the elements   1834 meV/atom
Calculated total energy   -1.372 eV/atom


Entry from Alexandria via LeMat-Bulk: crystalline RbCoSnHg2 at its relaxed geometry (PBE-GGA).

a b c (Å): 5.281 5.281 4.864
angles (deg): 90.00 90.00 90.00
Space group P4/mmm (No. 123)
Inequivalent atoms, fractional coordinates:
Rb  0.000  0.000  0.000
Co  0.500  0.500  0.500
Sn  0.500  0.500  0.000
Hg  0.000  0.500  0.500

Output
Formation energy from the elements   -39 meV/atom
Calculated total energy   -2.575 eV/atom


Entry from Alexandria via LeMat-Bulk: crystalline RbTiCo2Hg at its relaxed geometry (PBE-GGA).

a b c (Å): 4.503 4.503 6.593
angles (deg): 90.00 90.00 90.00
Space group P4/mmm (No. 123)
Inequivalent atoms, fractional coordinates:
Rb  0.000  0.000  0.000
Ti  0.000  0.000  0.500
Co  0.000  0.500  0.500
Hg  0.500  0.500  0.000

Output
Formation energy from the elements   1147 meV/atom
Calculated total energy   -3.528 eV/atom


Entry from Alexandria via LeMat-Bulk: crystalline RbTl2CoHg at its relaxed geometry (PBE-GGA).

a b c (Å): 5.745 5.745 6.537
angles (deg): 90.00 90.00 90.00
Space group P4/mmm (No. 123)
Inequivalent atoms, fractional coordinates:
Rb  0.000  0.000  0.000
Tl  0.000  0.500  0.500
Co  0.500  0.500  0.000
Hg  0.000  0.000  0.500

Output
Polymorph energy (0 for the lowest one)   0.852 eV per atom
Formation energy from the elements   895 meV/atom
Calculated total energy   -1.726 eV/atom


Entry from Alexandria via LeMat-Bulk: crystalline RbTl2CoHg at its relaxed geometry (PBE-GGA).

a b c (Å): 5.142 5.142 5.333
angles (deg): 90.00 90.00 90.00
Space group P4/mmm (No. 123)
Inequivalent atoms, fractional coordinates:
Rb  0.000  0.000  0.000
Tl  0.000  0.500  0.500
Co  0.500  0.500  0.500
Hg  0.500  0.500  0.000

Output
Polymorph energy (0 for the lowest one)   0.000 eV per atom
Formation energy from the elements   44 meV/atom
Calculated total energy   -2.578 eV/atom


Entry from Alexandria via LeMat-Bulk: crystalline CoRe2Hg at its relaxed geometry (PBE-GGA).

a b c (Å): 2.730 4.451 10.254
angles (deg): 90.00 90.00 90.00
Space group Immm (No. 71)
Inequivalent atoms, fractional coordinates:
Co  0.000  0.000  0.000
Re  0.000  0.500  0.292
Hg  0.000  0.000  0.500

Output
Formation energy from the elements   522 meV/atom
Calculated total energy   -7.554 eV/atom


Entry from Alexandria via LeMat-Bulk: crystalline CoRe2Hg at its relaxed geometry (PBE-GGA).

a b c (Å): 3.783 3.783 4.224
angles (deg): 90.00 90.00 90.00
Space group P4/mmm (No. 123)
Inequivalent atoms, fractional coordinates:
Co  0.000  0.000  0.000
Re  0.000  0.500  0.500
Hg  0.500  0.500  0.000

Output
Formation energy from the elements   734 meV/atom
Calculated total energy   -7.342 eV/atom


Entry from Alexandria via LeMat-Bulk: crystalline CoRe2Hg at its relaxed geometry (PBE-GGA).

a b c (Å): 3.758 3.758 8.539
angles (deg): 90.00 90.00 90.00
Space group I4/mmm (No. 139)
Inequivalent atoms, fractional coordinates:
Co  0.000  0.000  0.000
Re  0.000  0.500  0.250
Hg  0.000  0.000  0.500

Output
Formation energy from the elements   684 meV/atom
Calculated total energy   -7.392 eV/atom


Entry from Alexandria via LeMat-Bulk: crystalline CoRe2Hg at its relaxed geometry (PBE-GGA).

a b c (Å): 3.960 3.960 7.663
angles (deg): 90.00 90.00 90.00
Space group I-4m2 (No. 119)
Inequivalent atoms, fractional coordinates:
Co  0.000  0.000  0.000
Re  0.000  0.000  0.500
Re  0.000  0.500  0.250
Hg  0.000  0.500  0.750

Output
Formation energy from the elements   653 meV/atom
Calculated total energy   -7.423 eV/atom


Entry from Alexandria via LeMat-Bulk: crystalline CoReHg2 at its relaxed geometry (PBE-GGA).

a b c (Å): 4.089 4.089 8.180
angles (deg): 90.00 90.00 90.00
Space group I4/mmm (No. 139)
Inequivalent atoms, fractional coordinates:
Co  0.000  0.000  0.000
Re  0.000  0.000  0.500
Hg  0.000  0.500  0.250

Output
Polymorph energy (0 for the lowest one)   0.552 eV per atom
Formation energy from the elements   947 meV/atom
Calculated total energy   -4.093 eV/atom


Entry from Alexandria via LeMat-Bulk: crystalline CoRe2Hg at its relaxed geometry (PBE-GGA).

a b c (Å): 2.725 2.725 8.128
angles (deg): 90.00 90.00 90.00
Space group P4/mmm (No. 123)
Inequivalent atoms, fractional coordinates:
Co  0.000  0.000  0.000
Re  0.500  0.500  0.214
Hg  0.000  0.000  0.500

Output
Formation energy from the elements   581 meV/atom
Calculated total energy   -7.495 eV/atom